1.
# Na3PaCr2Te6 PBE optimized geometry
# - Total energy: -59.228 eV/f.u.
# - D(E_F): 4.269 states/eV/f.u.
data_Na3PaCr2Te6
_cell_length_a 7.255
_cell_length_b 12.551
_cell_length_c 7.968
_cell_angle_alpha 90.00
_cell_angle_beta 107.67
_cell_angle_gamma 90.00
_symmetry_space_group_name_H-M 'C 1 2/m 1'
_symmetry_Int_Tables_number 12
_symmetry_space_group_name_Hall '-C 2y'
loop_
_atom_site_label
_atom_site_type_symbol
_atom_site_fract_x
_atom_site_fract_y
_atom_site_fract_z
Na1 Na 0.000 0.000 0.000
Na2 Na 0.000 0.341 0.000
Pa1 Pa 0.000 0.500 0.500
Cr1 Cr 0.000 0.168 0.500
Te1 Te 0.218 0.000 0.714
Te2 Te 0.249 0.324 0.717

---

2.
# Na3CrPb PBE optimized geometry
# - ΔE_f: 0.733 eV/atom
# - Energy relative to the lowest polymorph listed for this composition: 11.1 meV/atom
# - D(E_F): 3.066 states/eV/f.u.
data_Na3CrPb
_cell_length_a 5.601
_cell_length_b 5.601
_cell_length_c 5.601
_cell_angle_alpha 90.00
_cell_angle_beta 90.00
_cell_angle_gamma 90.00
_symmetry_space_group_name_H-M 'P m -3 m'
_symmetry_Int_Tables_number 221
_symmetry_space_group_name_Hall '-P 4 2 3'
loop_
_atom_site_label
_atom_site_type_symbol
_atom_site_fract_x
_atom_site_fract_y
_atom_site_fract_z
Na1 Na 0.000 0.000 0.500
Cr1 Cr 0.000 0.000 0.000
Pb1 Pb 0.500 0.500 0.500

---

3.
# NaCr3Pb PBE optimized geometry
# - ΔE_f: 1.289 eV/atom
# - Energy relative to the lowest polymorph listed for this composition: 0.0 meV/atom
# - D(E_F): 4.375 states/eV/f.u.
data_NaCr3Pb
_cell_length_a 5.363
_cell_length_b 5.363
_cell_length_c 5.363
_cell_angle_alpha 90.00
_cell_angle_beta 90.00
_cell_angle_gamma 90.00
_symmetry_space_group_name_H-M 'P m -3 m'
_symmetry_Int_Tables_number 221
_symmetry_space_group_name_Hall '-P 4 2 3'
loop_
_atom_site_label
_atom_site_type_symbol
_atom_site_fract_x
_atom_site_fract_y
_atom_site_fract_z
Na1 Na 0.000 0.000 0.000
Cr1 Cr 0.000 0.500 0.500
Pb1 Pb 0.500 0.500 0.500